First-principles (GGA+U) data for a relaxed structure of CrCd2WO6, as listed in Alexandria via LeMat-Bulk.

a b c (Å): 5.5520 5.5520 3.9925
angles (deg): 90.00 90.00 90.00
Atoms (fractional coordinates):
Cr: 0.0000 0.0000 0.0000
Cd: 0.0000 0.5000 0.4975
Cd: 0.5000 0.0000 0.4975
W: 0.5000 0.5000 0.9996
O: 0.0000 0.0000 0.5001
O: 0.2542 0.2542 0.0006
O: 0.2542 0.7458 0.0006
O: 0.5000 0.5000 0.5001
O: 0.7458 0.2542 0.0006
O: 0.7458 0.7458 0.0006

Results
- E_tot: -60.20 eV per cell
- Theoretical density: 7.51 g/cm³